# 1
## Sc2SbRh (GGA-PBE)

Data for a relaxed Sc2SbRh crystal.

As for the space-group type: Amm2, No. 38. The calculation puts the total moment at 0.000 μB/atom. As for the total energy: -6.8853 eV per atom.

Cell lengths 4.292, 3.628, 5.600 Å; angles 71.13, 90.00, 90.00 degrees
Fractional coordinates of all 4 atoms:
Rh 0.000 0.718 0.439
Sc 0.000 0.968 0.940
Sc 0.500 0.268 0.338
Sb 0.500 0.546 0.783

# 2
## Sc4SbRh (GGA-PBE)

Data for a relaxed Sc4SbRh crystal.

As for the space-group type: F-43m, No. 216. The calculation puts the total moment at 0.139 μB/atom. As for the total energy: -6.0445 eV per atom. The value obtained for the energy above the most stable polymorph in this dataset is 764 meV/atom.

Cell lengths 5.660, 5.660, 5.660 Å; angles 60.00, 60.00, 60.00 degrees
Site moments in Bohr magnetons follow the coordinates.
Fractional coordinates of all 6 atoms:
Sb 0.000 0.000 0.000  -0.01
Rh 0.750 0.750 0.750  0.00
Sc 0.375 0.375 0.375  0.16
Sc 0.874 0.375 0.375  0.16
Sc 0.375 0.375 0.874  0.16
Sc 0.375 0.874 0.375  0.16

# 3
## ScSb2Rh2 (GGA-PBE)

Data for a relaxed ScSb2Rh2 crystal.

As for the space-group type: P4/mbm, No. 127. The calculation puts the total moment at 0.114 μB/atom. As for the total energy: -6.2540 eV per atom.

Cell lengths 7.727, 7.727, 3.210 Å; angles 90.00, 90.00, 90.00 degrees
Site moments in Bohr magnetons follow the coordinates.
Fractional coordinates of all 10 atoms:
Rh 0.640 0.860 0.500  0.03
Rh 0.140 0.640 0.500  0.02
Rh 0.860 0.360 0.500  0.02
Rh 0.360 0.140 0.500  0.03
Sb 0.653 0.153 0.000  0.01
Sb 0.847 0.653 0.000  0.01
Sb 0.153 0.347 0.000  0.01
Sb 0.347 0.847 0.000  0.01
Sc 0.500 0.500 0.000  0.32
Sc 0.000 0.000 0.000  0.32

# 4
## Sc2SbRh (GGA-PBE)

Data for a relaxed Sc2SbRh crystal.

As for the space-group type: Immm, No. 71. The calculation puts the total moment at 0.000 μB/atom. As for the total energy: -6.7855 eV per atom.

Cell lengths 5.033, 5.033, 4.453 Å; angles 63.75, 63.75, 52.35 degrees
Fractional coordinates of all 4 atoms:
Sc 0.500 0.500 0.500
Sc 0.000 0.000 0.000
Rh 0.250 0.250 0.250
Sb 0.750 0.750 0.750

# 5
## Sc2SbRh (GGA-PBE)

Data for a relaxed Sc2SbRh crystal.

As for the space-group type: R3m, No. 160. The calculation puts the total moment at 0.071 μB/atom. As for the total energy: -6.2895 eV per atom.

Cell lengths 9.197, 9.197, 9.197 Å; angles 20.83, 20.83, 20.83 degrees
Site moments in Bohr magnetons follow the coordinates.
Fractional coordinates of all 4 atoms:
Sc 0.003 0.003 0.003  0.14
Sc 0.236 0.236 0.236  0.05
Rh 0.501 0.501 0.501  -0.01
Sb 0.760 0.760 0.760  -0.01

# 6
## ScSb2Rh2 (GGA-PBE)

Data for a relaxed ScSb2Rh2 crystal.

As for the space-group type: I4/mmm, No. 139. The calculation puts the total moment at 0.000 μB/atom. As for the total energy: -6.2192 eV per atom.

Cell lengths 4.872, 4.872, 5.597 Å; angles 64.20, 64.20, 90.00 degrees
Fractional coordinates of all 5 atoms:
Sc 0.000 0.000 0.000
Rh 0.355 0.355 0.291
Rh 0.645 0.645 0.709
Sb 0.750 0.250 0.500
Sb 0.250 0.750 0.500

# 7
## Sc2SbRh (GGA-PBE)

Data for a relaxed Sc2SbRh crystal.

As for the space-group type: R-3m, No. 166. The calculation puts the total moment at 0.000 μB/atom. As for the total energy: -6.3910 eV per atom.

Cell lengths 9.301, 9.301, 9.301 Å; angles 22.08, 22.08, 22.08 degrees
Fractional coordinates of all 4 atoms:
Sb 0.000 0.000 0.000
Sc 0.891 0.891 0.891
Sc 0.109 0.109 0.109
Rh 0.500 0.500 0.500

# 8
## ScSb3Rh (GGA-PBE)

Data for a relaxed ScSb3Rh crystal.

As for the space-group type: Pm-3m, No. 221. The calculation puts the total moment at 0.000 μB/atom. As for the total energy: -5.0382 eV per atom. The value obtained for the energy above the most stable polymorph in this dataset is 0 meV/atom.

Cell lengths 5.151, 5.151, 5.151 Å; angles 90.00, 90.00, 90.00 degrees
Fractional coordinates of all 5 atoms:
Sb 0.500 0.000 0.000
Sb 0.000 0.000 0.500
Sb 0.000 0.500 0.000
Sc 0.500 0.500 0.500
Rh 0.000 0.000 0.000

# 9
## Sc2SbRh (GGA-PBE)

Data for a relaxed Sc2SbRh crystal.

As for the space-group type: R-3m, No. 166. The calculation puts the total moment at 0.000 μB/atom. As for the total energy: -6.6513 eV per atom.

Cell lengths 7.401, 7.401, 7.401 Å; angles 29.82, 29.82, 29.82 degrees
Fractional coordinates of all 4 atoms:
Sc 0.988 0.988 0.988
Sc 0.512 0.512 0.512
Sb 0.750 0.750 0.750
Rh 0.250 0.250 0.250

# 10
## Sc2SbRh (GGA-PBE)

Data for a relaxed Sc2SbRh crystal.

As for the space-group type: F-43m, No. 216. The calculation puts the total moment at 0.490 μB/atom. As for the total energy: -6.5276 eV per atom.

Cell lengths 4.756, 4.756, 4.756 Å; angles 60.00, 60.00, 60.00 degrees
Site moments in Bohr magnetons follow the coordinates.
Fractional coordinates of all 4 atoms:
Sb 0.750 0.750 0.750  0.01
Sc 0.250 0.250 0.250  0.54
Sc 0.000 0.000 0.000  0.83
Rh 0.500 0.500 0.500  0.06

# 11
## Sc2SbRh (GGA-PBE)

Data for a relaxed Sc2SbRh crystal.

As for the space-group type: Pmmm, No. 47. The calculation puts the total moment at 0.000 μB/atom. As for the total energy: -6.7889 eV per atom.

Cell lengths 3.708, 3.357, 7.194 Å; angles 62.23, 90.00, 90.00 degrees
Fractional coordinates of all 4 atoms:
Sb 0.500 0.750 0.750
Rh 0.500 0.250 0.250
Sc 0.000 0.981 0.019
Sc 0.000 0.519 0.481

# 12
## ScSbRh3 (GGA-PBE)

Data for a relaxed ScSbRh3 crystal.

As for the space-group type: Pm-3m, No. 221. The calculation puts the total moment at 0.000 μB/atom. As for the total energy: -6.1549 eV per atom. The value obtained for the energy above the most stable polymorph in this dataset is 847 meV/atom.

Cell lengths 4.783, 4.783, 4.783 Å; angles 90.00, 90.00, 90.00 degrees
Fractional coordinates of all 5 atoms:
Sc 0.500 0.500 0.500
Rh 0.500 0.000 0.000
Rh 0.000 0.000 0.500
Rh 0.000 0.500 0.000
Sb 0.000 0.000 0.000